(1)
The following is a PBE-GGA calculation of TiGaAu after structural relaxation, from Alexandria via LeMat-Bulk.

Results
- ΔH_f (0 K): -0.267 eV per atom
- Calculated volume: 17.124 Å³/atom
- Total magnetization: 0.00 μB/f.u.

abc: 10.9604 4.0449 4.6976
angles: 90.00 99.36 90.00
With the nearest neighbours (Å) after each atom.
Fractional positions:
Ti1 0.0993 0.0000 0.2860  4 Ga 2.62-2.90, 2 Au 2.76
Ti2 0.4007 0.5000 0.7140  4 Ga 2.62-2.90, 2 Au 2.76
Ti3 0.5993 0.5000 0.2860  4 Ga 2.62-2.90, 2 Au 2.76
Ti4 0.9007 0.0000 0.7140  4 Ga 2.62-2.90, 2 Au 2.76
Ga1 0.2328 0.0000 0.8015  4 Ti 2.62-2.90, 3 Au 2.66, 2 Ga 2.74
Ga2 0.2672 0.5000 0.1985  4 Ti 2.62-2.90, 3 Au 2.66, 2 Ga 2.74
Ga3 0.7328 0.5000 0.8015  4 Ti 2.62-2.90, 3 Au 2.66, 2 Ga 2.74
Ga4 0.7672 0.0000 0.1985  4 Ti 2.62-2.90, 3 Au 2.66, 2 Ga 2.74
Au1 0.0739 0.5000 0.7737  3 Ga 2.66, 2 Ti 2.76, 2 Au 2.81-2.88
Au2 0.4261 0.0000 0.2263  3 Ga 2.66, 2 Ti 2.76, 2 Au 2.81-2.88
Au3 0.5739 0.0000 0.7737  3 Ga 2.66, 2 Ti 2.76, 2 Au 2.81-2.88
Au4 0.9261 0.5000 0.2263  3 Ga 2.66, 2 Ti 2.76, 2 Au 2.81-2.88

***

(2)
The following is a PBE-GGA calculation of Ti5Ga5Au2 after structural relaxation, from Alexandria via LeMat-Bulk.

Results
- ΔH_f (0 K): -0.238 eV per atom
- Calculated volume: 17.627 Å³/atom
- Total magnetization: 0.00 μB/f.u.

abc: 6.7822 6.7822 11.3396
angles: 110.78 110.78 25.81
With the nearest neighbours (Å) after each atom.
Fractional positions:
Ti1 0.0000 0.0000 0.0000  4 Ga 2.85, 6 Ti 3.03-3.17, 4 Au 3.14
Ti2 0.1586 0.1586 0.4730  4 Ga 2.69-2.74, 2 Ti 2.73, 2 Au 2.75
Ti3 0.2738 0.2738 0.9082  5 Ga 2.66-2.79, 1 Au 2.80, 2 Ti 2.82
Ti4 0.7262 0.7262 0.0918  5 Ga 2.66-2.79, 1 Au 2.80, 2 Ti 2.82
Ti5 0.8414 0.8414 0.5270  4 Ga 2.69-2.74, 2 Ti 2.73, 2 Au 2.75
Ga1 0.2998 0.2998 0.3135  4 Ga 2.72-3.03, 5 Ti 2.74-3.04, 2 Au 2.77
Ga2 0.4086 0.4086 0.1492  1 Au 2.52, 3 Ti 2.66-2.72, 1 Ga 2.74
Ga3 0.5000 0.5000 0.5000  4 Ti 2.69, 2 Ga 2.72
Ga4 0.5914 0.5914 0.8508  1 Au 2.52, 3 Ti 2.66-2.72, 1 Ga 2.74
Ga5 0.7002 0.7002 0.6865  4 Ga 2.72-3.03, 5 Ti 2.74-3.04, 2 Au 2.77
Au1 0.3878 0.3878 0.7429  3 Ga 2.52-2.77, 3 Ti 2.75-2.80
Au2 0.6122 0.6122 0.2571  3 Ga 2.52-2.77, 3 Ti 2.75-2.80

***

(3)
The following is a PBE-GGA calculation of TiGaAu3 after structural relaxation, from Alexandria via LeMat-Bulk.

Results
- ΔH_f (0 K): -0.246 eV per atom
- Energy above the lowest structure with this stoichiometry: 0 meV/atom
- Calculated volume: 17.458 Å³/atom
- Total magnetization: 0.00 μB/f.u.

abc: 4.8710 6.0087 6.4614
angles: 77.43 75.58 75.07
With the nearest neighbours (Å) after each atom.
Fractional positions:
Ti1 0.2256 0.2907 0.1024  8 Au 2.76-2.92, 2 Ga 2.91-2.95
Ti2 0.7744 0.7093 0.8976  8 Au 2.76-2.92, 2 Ga 2.91-2.95
Ga1 0.0000 0.0000 0.5000  8 Au 2.77-2.97, 2 Ti 2.91, 2 Ga 3.00
Ga2 0.0000 0.5000 0.5000  8 Au 2.74-3.04, 2 Ti 2.95, 2 Ga 3.00
Au1 0.1787 0.7845 0.1017  4 Ti 2.80-3.11, 2 Ga 2.84-2.97, 6 Au 2.85-3.04
Au2 0.3692 0.6016 0.7065  3 Ga 2.74-2.99, 3 Ti 2.82-2.87, 6 Au 2.85-3.04
Au3 0.4214 0.0950 0.7043  2 Ti 2.76-2.90, 3 Ga 2.77-3.04, 7 Au 2.85-3.04
Au4 0.5786 0.9050 0.2957  2 Ti 2.76-2.90, 3 Ga 2.77-3.04, 7 Au 2.85-3.04
Au5 0.6308 0.3984 0.2935  3 Ga 2.74-2.99, 3 Ti 2.82-2.87, 6 Au 2.85-3.04
Au6 0.8213 0.2155 0.8983  4 Ti 2.80-3.11, 2 Ga 2.84-2.97, 6 Au 2.85-3.04